The following is a PBE calculation of an optimized crystal structure of Ba2YGeTe5, from Alexandria.

## Properties
- ΔE_f (raw): -1.217 eV per atom
- Theoretical density: 5.344 g/cm³
- Crystal system: orthorhombic

Lattice parameters (Å, degrees): 10.469 10.469 13.814 90.00 90.00 153.84
Atoms (fractional coordinates):
Ba: 0.120 0.880 0.500
Ba: 0.123 0.877 0.134
Ba: 0.877 0.123 0.634
Ba: 0.880 0.120 0.000
Y: 0.207 0.793 0.838
Y: 0.793 0.207 0.338
Ge: 0.439 0.561 0.255
Ge: 0.561 0.439 0.755
Te: 0.049 0.951 0.854
Te: 0.295 0.705 0.482
Te: 0.314 0.686 0.184
Te: 0.353 0.647 0.818
Te: 0.499 0.501 0.083
Te: 0.501 0.499 0.583
Te: 0.647 0.353 0.318
Te: 0.686 0.314 0.684
Te: 0.705 0.295 0.982
Te: 0.951 0.049 0.354